No. 1
Computed, not measured: an optimized crystal structure of Tb7Pr2Tm at the GGA-PBE level of DFT.

Lattice parameters (Å, degrees): 3.5089 14.8539 14.8539 154.49 90.00 90.00
Last column: nearest neighbours and their distance in Å.
Sites, in units of the cell vectors:
Tb 0.0000 0.8153 0.1847  6 Tb 3.48-3.51, 6 Pr 3.60-3.77
Tb 0.5000 0.5000 0.5000  6 Tb 3.27-3.51
Tb 0.0000 0.1847 0.8153  6 Tb 3.48-3.51, 6 Pr 3.60-3.77
Tb 0.5000 0.6581 0.8523  7 Tb 3.21-3.51, 1 Pr 3.59
Tb 0.5000 0.8523 0.6581  7 Tb 3.21-3.51, 1 Pr 3.59
Tb 0.5000 0.1477 0.3419  7 Tb 3.21-3.51, 1 Pr 3.59
Tb 0.5000 0.3419 0.1477  7 Tb 3.21-3.51, 1 Pr 3.59
Tm 0.0000 0.0000 0.0000  2 Tm 3.51, 12 Tb 3.68-3.72
Pr 0.5000 0.2933 0.7067  2 Pr 3.51, 8 Tb 3.59-3.77
Pr 0.5000 0.7067 0.2933  2 Pr 3.51, 8 Tb 3.59-3.77

The value obtained for the energy above the lowest structure with this stoichiometry is 1.35 eV per formula unit. For the density of states at the Fermi level, the calculation gives 16.05 states/eV/cell. Its formation energy is 3.5 kcal/mol of atoms. The total energy is -4.49 eV/atom.


No. 2
Computed, not measured: an optimized crystal structure of Tb3Pr2Tm5 at the GGA-PBE level of DFT.

Lattice parameters (Å, degrees): 6.7612 12.2788 12.2788 45.02 74.02 74.02
Last column: nearest neighbours and their distance in Å.
Sites, in units of the cell vectors:
Tm 0.0023 0.7477 0.7477  4 Tm 3.26-3.38, 2 Pr 3.37
Tm 0.4977 0.2523 0.2523  4 Tm 3.26-3.38, 2 Pr 3.37
Tm 0.9977 0.2523 0.2523  4 Tm 3.26-3.38, 2 Pr 3.37
Tm 0.6245 0.2915 0.4595  1 Pr 2.91, 1 Tb 3.13, 2 Tm 3.26
Tm 0.8755 0.5405 0.7085  1 Pr 2.91, 1 Tb 3.13, 2 Tm 3.26
Tm 0.3755 0.7085 0.5405  1 Pr 2.91, 1 Tb 3.13, 2 Tm 3.26
Tm 0.5023 0.7477 0.7477  4 Tm 3.26-3.38, 2 Pr 3.37
Tm 0.1245 0.4595 0.2915  1 Pr 2.91, 1 Tb 3.13, 2 Tm 3.26
Tm 0.7500 0.5000 0.5000  6 Tm 3.28-3.38
Tm 0.2500 0.5000 0.5000  6 Tm 3.28-3.38
Tb 0.2500 0.0000 0.0000  4 Pr 3.36, 2 Tb 3.38
Tb 0.1281 0.1235 0.6203  1 Tm 3.13, 1 Pr 3.36
Tb 0.7500 0.0000 0.0000  4 Pr 3.36, 2 Tb 3.38
Tb 0.8719 0.8765 0.3797  1 Tm 3.13, 1 Pr 3.36
Tb 0.3719 0.3797 0.8765  1 Tm 3.13, 1 Pr 3.36
Tb 0.6281 0.6203 0.1235  1 Tm 3.13, 1 Pr 3.36
Pr 0.3743 0.0198 0.2317  1 Tm 2.91
Pr 0.6257 0.9802 0.7683  1 Tm 2.91
Pr 0.1257 0.7683 0.9802  1 Tm 2.91
Pr 0.8743 0.2317 0.0198  1 Tm 2.91

The value obtained for the energy above the lowest structure with this stoichiometry is 2.26 eV per formula unit. For the density of states at the Fermi level, the calculation gives 33.08 states/eV/cell. Its formation energy is 9.6 kcal/mol of atoms. The total energy is -4.16 eV/atom.


No. 3
Computed, not measured: an optimized crystal structure of Tb3Pr2Tm2 at the GGA-PBE level of DFT.

Lattice parameters (Å, degrees): 3.5170 8.5669 8.9943 118.65 101.27 90.00
Last column: nearest neighbours and their distance in Å.
Sites, in units of the cell vectors:
Tb 0.0000 0.5000 0.0000  4 Tb 3.33-3.52, 2 Tm 3.57, 4 Pr 3.60
Tb 0.2116 0.7964 0.4231  5 Tb 3.33-3.53, 3 Pr 3.46-3.62, 3 Tm 3.54-3.60
Tb 0.7884 0.2036 0.5769  5 Tb 3.33-3.53, 3 Pr 3.46-3.62, 3 Tm 3.54-3.60
Pr 0.4331 0.0861 0.8663  3 Pr 3.34-3.52, 5 Tb 3.46-3.62, 2 Tm 3.63
Pr 0.5669 0.9139 0.1337  3 Pr 3.34-3.52, 5 Tb 3.46-3.62, 2 Tm 3.63
Tm 0.8488 0.6632 0.6976  4 Tm 3.52-3.68, 4 Tb 3.54-3.60, 4 Pr 3.63-3.80
Tm 0.1512 0.3368 0.3024  4 Tm 3.52-3.68, 4 Tb 3.54-3.60, 4 Pr 3.63-3.80

The value obtained for the energy above the lowest structure with this stoichiometry is 0.21 eV per formula unit. For the density of states at the Fermi level, the calculation gives 10.77 states/eV/cell. Its formation energy is 2.9 kcal/mol of atoms. The total energy is -4.50 eV/atom.


No. 4
Computed, not measured: an optimized crystal structure of Tb3Pr5Tm at the GGA-PBE level of DFT.

Lattice parameters (Å, degrees): 11.0003 11.0003 11.8504 55.35 55.35 33.58
Last column: nearest neighbours and their distance in Å.
Sites, in units of the cell vectors:
Tm 0.9014 0.0986 0.7500  4 Tb 3.03-3.33, 2 Pr 3.12-3.23
Tm 0.0986 0.9014 0.2500  4 Tb 3.03-3.33, 2 Pr 3.12-3.23
Tb 0.9535 0.3973 0.6739  1 Tm 3.33, 2 Tb 3.41-3.69, 4 Pr 3.45-3.60
Tb 0.3973 0.9535 0.1739  1 Tm 3.33, 2 Tb 3.41-3.69, 4 Pr 3.45-3.60
Tb 0.0465 0.6027 0.3261  1 Tm 3.33, 2 Tb 3.41-3.69, 4 Pr 3.45-3.60
Tb 0.0000 0.0000 0.5000  2 Tm 3.03, 2 Pr 3.16
Tb 0.0000 0.0000 0.0000  2 Tm 3.03, 2 Pr 3.16
Tb 0.6027 0.0465 0.8261  1 Tm 3.33, 2 Tb 3.41-3.69, 4 Pr 3.45-3.60
Pr 0.8039 0.4702 0.3849  2 Tb 3.16-3.54
Pr 0.4702 0.8039 0.8849  2 Tb 3.16-3.54
Pr 0.5298 0.1961 0.1151  2 Tb 3.16-3.54
Pr 0.5903 0.4097 0.2500  2 Tm 3.12-3.23
Pr 0.6457 0.9938 0.5304  4 Tb 3.45-3.78, 5 Pr 3.55-3.65, 1 Tm 3.67
Pr 0.4097 0.5903 0.7500  2 Tm 3.12-3.23
Pr 0.1961 0.5298 0.6151  2 Tb 3.16-3.54
Pr 0.0062 0.3543 0.9696  4 Tb 3.45-3.78, 5 Pr 3.55-3.65, 1 Tm 3.67
Pr 0.3543 0.0062 0.4696  4 Tb 3.45-3.78, 5 Pr 3.55-3.65, 1 Tm 3.67
Pr 0.9938 0.6457 0.0304  4 Tb 3.45-3.78, 5 Pr 3.55-3.65, 1 Tm 3.67

The value obtained for the energy above the lowest structure with this stoichiometry is 0.00 eV per formula unit. For the density of states at the Fermi level, the calculation gives 24.40 states/eV/cell. Its formation energy is 6.0 kcal/mol of atoms. The total energy is -4.43 eV/atom.